Version w
# PBE Tb3Pm6Dy2, relaxed
# N(E_F) = 16.14 states/eV/f.u.
# magnetization = 0.0 μB/cell
data_Tb3Pm6Dy2
_space_group_name_H-M_alt 'I 4/m m m'
_space_group_IT_number 139
_space_group_name_Hall '-I 4 2'
_cell_length_a 4.779
_cell_length_b 4.779
_cell_length_c 33.650
_cell_angle_alpha 90.00
_cell_angle_beta 90.00
_cell_angle_gamma 90.00
loop_
_atom_site_label
_atom_site_type_symbol
_atom_site_fract_x
_atom_site_fract_y
_atom_site_fract_z
_atom_site_occupancy
Tb1 Tb 0.000 0.000 0.000 1
Tb2 Tb 0.000 0.000 0.198 1
Pm1 Pm 0.000 0.000 0.300 1
Pm2 Pm 0.000 0.500 0.120 1
Dy1 Dy 0.000 0.000 0.455 1

***

Version x
# PBE Tb3Pm6Dy2, relaxed
# N(E_F) = 14.62 states/eV/f.u.
# magnetization = 0.0 μB/cell
data_Tb3Pm6Dy2
_space_group_name_H-M_alt 'P -1'
_space_group_IT_number 2
_space_group_name_Hall '-P 1'
_cell_length_a 3.603
_cell_length_b 6.242
_cell_length_c 16.922
_cell_angle_alpha 90.13
_cell_angle_beta 90.04
_cell_angle_gamma 106.69
loop_
_atom_site_label
_atom_site_type_symbol
_atom_site_fract_x
_atom_site_fract_y
_atom_site_fract_z
_atom_site_occupancy
Tb1 Tb 0.000 0.000 0.000 1
Tb2 Tb 0.091 0.182 0.363 1
Pm1 Pm 0.272 0.545 0.092 1
Pm2 Pm 0.364 0.728 0.455 1
Pm3 Pm 0.455 0.911 0.817 1
Dy1 Dy 0.182 0.365 0.726 1

***

Q: Which of them is the most stable? A: version x.

***

Version w
# PBE Tb5Pm5Dy, relaxed
# N(E_F) = 15.78 states/eV/f.u.
# magnetization = 0.0 μB/cell
data_Tb5Pm5Dy
_space_group_name_H-M_alt 'P -1'
_space_group_IT_number 2
_space_group_name_Hall '-P 1'
_cell_length_a 6.928
_cell_length_b 6.936
_cell_length_c 8.731
_cell_angle_alpha 74.87
_cell_angle_beta 74.65
_cell_angle_gamma 69.69
loop_
_atom_site_label
_atom_site_type_symbol
_atom_site_fract_x
_atom_site_fract_y
_atom_site_fract_z
_atom_site_occupancy
Tb1 Tb 0.000 0.000 0.000 1
Tb2 Tb 0.317 0.822 0.636 1
Tb3 Tb 0.347 0.279 0.727 1
Pm1 Pm 0.149 0.646 0.365 1
Pm2 Pm 0.231 0.145 0.264 1
Pm3 Pm 0.500 0.500 0.000 1
Dy1 Dy 0.000 0.500 0.000 1

***

Version x
# PBE Tb5Pm5Dy, relaxed
# N(E_F) = 18.55 states/eV/f.u.
# magnetization = 0.0 μB/cell
data_Tb5Pm5Dy
_space_group_name_H-M_alt 'P -6 m 2'
_space_group_IT_number 187
_space_group_name_Hall 'P -6 2'
_cell_length_a 6.1423
_cell_length_b 6.1423
_cell_length_c 11.5268
_cell_angle_alpha 90.00
_cell_angle_beta 90.00
_cell_angle_gamma 120.00
loop_
_atom_site_label
_atom_site_type_symbol
_atom_site_fract_x
_atom_site_fract_y
_atom_site_fract_z
_atom_site_occupancy
Tb1 Tb 0.0000 0.0000 0.0000 1
Tb2 Tb 0.3333 0.6667 0.3188 1
Tb3 Tb 0.6667 0.3333 0.1579 1
Pm1 Pm 0.0000 0.0000 0.2630 1
Pm2 Pm 0.3398 0.1699 0.5000 1
Dy1 Dy 0.3333 0.6667 0.0000 1

***

Q: Which of them is the most stable? A: version w.

***

Version w
# PBE TbPm4Dy, relaxed
# N(E_F) = 8.13 states/eV/f.u.
# magnetization = 0.0 μB/cell
data_TbPm4Dy
_space_group_name_H-M_alt 'P m m m'
_space_group_IT_number 47
_space_group_name_Hall '-P 2 2'
_cell_length_a 3.618
_cell_length_b 5.107
_cell_length_c 10.850
_cell_angle_alpha 90.00
_cell_angle_beta 90.00
_cell_angle_gamma 90.00
loop_
_atom_site_label
_atom_site_type_symbol
_atom_site_fract_x
_atom_site_fract_y
_atom_site_fract_z
_atom_site_occupancy
Tb1 Tb 0.000 0.000 0.000 1
Pm1 Pm 0.000 0.000 0.334 1
Pm2 Pm 0.500 0.500 0.166 1
Dy1 Dy 0.500 0.500 0.500 1

***

Version x
# PBE TbPm4Dy, relaxed
# N(E_F) = 11.79 states/eV/f.u.
# magnetization = 0.0 μB/cell
data_TbPm4Dy
_space_group_name_H-M_alt 'C 1 2/m 1'
_space_group_IT_number 12
_space_group_name_Hall '-C 2y'
_cell_length_a 11.130
_cell_length_b 6.006
_cell_length_c 6.016
_cell_angle_alpha 90.00
_cell_angle_beta 90.06
_cell_angle_gamma 90.00
loop_
_atom_site_label
_atom_site_type_symbol
_atom_site_fract_x
_atom_site_fract_y
_atom_site_fract_z
_atom_site_occupancy
Tb1 Tb 0.000 0.000 0.000 1
Pm1 Pm 0.163 0.000 0.484 1
Pm2 Pm 0.163 0.500 0.016 1
Dy1 Dy 0.000 0.500 0.500 1

***

Version y
# PBE TbPm4Dy, relaxed
# N(E_F) = 9.96 states/eV/f.u.
# magnetization = 0.0 μB/cell
data_TbPm4Dy
_space_group_name_H-M_alt 'F -4 3 m'
_space_group_IT_number 216
_space_group_name_Hall 'F -4 2 3'
_cell_length_a 9.413
_cell_length_b 9.413
_cell_length_c 9.413
_cell_angle_alpha 90.00
_cell_angle_beta 90.00
_cell_angle_gamma 90.00
loop_
_atom_site_label
_atom_site_type_symbol
_atom_site_fract_x
_atom_site_fract_y
_atom_site_fract_z
_atom_site_occupancy
Tb1 Tb 0.000 0.000 0.000 1
Pm1 Pm 0.125 0.125 0.375 1
Dy1 Dy 0.250 0.250 0.750 1

***

Q: Which of them is the most stable? A: version w.

***

Version w
# PBE Tb7Pm2Dy3, relaxed
# N(E_F) = 18.10 states/eV/f.u.
# magnetization = 0.0 μB/cell
data_Tb7Pm2Dy3
_space_group_name_H-M_alt 'C m m m'
_space_group_IT_number 65
_space_group_name_Hall '-C 2 2'
_cell_length_a 5.712
_cell_length_b 37.899
_cell_length_c 3.613
_cell_angle_alpha 90.00
_cell_angle_beta 90.00
_cell_angle_gamma 90.00
loop_
_atom_site_label
_atom_site_type_symbol
_atom_site_fract_x
_atom_site_fract_y
_atom_site_fract_z
_atom_site_occupancy
Tb1 Tb 0.000 0.000 0.000 1
Tb2 Tb 0.000 0.071 0.500 1
Tb3 Tb 0.000 0.231 0.000 1
Tb4 Tb 0.000 0.410 0.000 1
Pm1 Pm 0.000 0.148 0.000 1
Dy1 Dy 0.000 0.314 0.500 1
Dy2 Dy 0.000 0.500 0.500 1

***

Version x
# PBE Tb7Pm2Dy3, relaxed
# N(E_F) = 17.50 states/eV/f.u.
# magnetization = 0.0 μB/cell
data_Tb7Pm2Dy3
_space_group_name_H-M_alt 'P 1 2/m 1'
_space_group_IT_number 10
_space_group_name_Hall '-P 2y'
_cell_length_a 6.351
_cell_length_b 3.526
_cell_length_c 17.490
_cell_angle_alpha 90.00
_cell_angle_beta 96.14
_cell_angle_gamma 90.00
loop_
_atom_site_label
_atom_site_type_symbol
_atom_site_fract_x
_atom_site_fract_y
_atom_site_fract_z
_atom_site_occupancy
Tb1 Tb 0.000 0.000 0.000 1
Tb2 Tb 0.228 0.500 0.167 1
Tb3 Tb 0.256 0.500 0.498 1
Tb4 Tb 0.274 0.000 0.836 1
Pm1 Pm 0.058 0.500 0.672 1
Dy1 Dy 0.453 0.000 0.342 1
Dy2 Dy 0.500 0.500 0.000 1

***

Q: Which of them is the most stable? A: version x.

***

Version w
# PBE TbPm5Dy2, relaxed
# N(E_F) = 11.70 states/eV/f.u.
# magnetization = 0.0 μB/cell
data_TbPm5Dy2
_space_group_name_H-M_alt 'P b a m'
_space_group_IT_number 55
_space_group_name_Hall '-P 2 2ab'
_cell_length_a 7.225
_cell_length_b 14.449
_cell_length_c 5.104
_cell_angle_alpha 90.00
_cell_angle_beta 90.00
_cell_angle_gamma 90.00
loop_
_atom_site_label
_atom_site_type_symbol
_atom_site_fract_x
_atom_site_fract_y
_atom_site_fract_z
_atom_site_occupancy
Tb1 Tb 0.000 0.000 0.000 1
Pm1 Pm 0.000 0.249 0.000 1
Pm2 Pm 0.000 0.500 0.000 1
Pm3 Pm 0.250 0.124 0.500 1
Dy1 Dy 0.249 0.876 0.500 1

***

Version x
# PBE TbPm5Dy2, relaxed
# N(E_F) = 13.73 states/eV/f.u.
# magnetization = 0.0 μB/cell
data_TbPm5Dy2
_space_group_name_H-M_alt 'C 1 2/c 1'
_space_group_IT_number 15
_space_group_name_Hall '-C 2yc'
_cell_length_a 14.636
_cell_length_b 12.085
_cell_length_c 6.700
_cell_angle_alpha 90.00
_cell_angle_beta 114.40
_cell_angle_gamma 90.00
loop_
_atom_site_label
_atom_site_type_symbol
_atom_site_fract_x
_atom_site_fract_y
_atom_site_fract_z
_atom_site_occupancy
Tb1 Tb 0.000 0.012 0.250 1
Pm1 Pm 0.000 0.259 0.750 1
Pm2 Pm 0.127 0.262 0.386 1
Pm3 Pm 0.238 0.011 0.715 1
Dy1 Dy 0.000 0.500 0.000 1
Dy2 Dy 0.250 0.250 0.000 1

***

Q: Which of them is the most stable? A: version w.

***

Version w
# PBE Tb4PmDy, relaxed
# N(E_F) = 7.97 states/eV/f.u.
# magnetization = 0.0 μB/cell
data_Tb4PmDy
_space_group_name_H-M_alt 'P -1'
_space_group_IT_number 2
_space_group_name_Hall '-P 1'
_cell_length_a 5.043
_cell_length_b 6.188
_cell_length_c 7.149
_cell_angle_alpha 106.83
_cell_angle_beta 90.02
_cell_angle_gamma 113.97
loop_
_atom_site_label
_atom_site_type_symbol
_atom_site_fract_x
_atom_site_fract_y
_atom_site_fract_z
_atom_site_occupancy
Tb1 Tb 0.166 0.332 0.332 1
Tb2 Tb 0.167 0.335 0.835 1
Pm1 Pm 0.500 0.000 0.500 1
Dy1 Dy 0.500 0.000 0.000 1

***

Version x
# PBE Tb4PmDy, relaxed
# N(E_F) = 8.53 states/eV/f.u.
# magnetization = 0.0 μB/cell
data_Tb4PmDy
_space_group_name_H-M_alt 'C m c m'
_space_group_IT_number 63
_space_group_name_Hall '-C 2c 2'
_cell_length_a 6.738
_cell_length_b 12.029
_cell_length_c 9.769
_cell_angle_alpha 90.00
_cell_angle_beta 90.00
_cell_angle_gamma 90.00
loop_
_atom_site_label
_atom_site_type_symbol
_atom_site_fract_x
_atom_site_fract_y
_atom_site_fract_z
_atom_site_occupancy
Tb1 Tb 0.000 0.155 0.070 1
Tb2 Tb 0.240 0.103 0.750 1
Pm1 Pm 0.000 0.323 0.750 1
Dy1 Dy 0.000 0.500 0.000 1

***

Version y
# PBE Tb4PmDy, relaxed
# N(E_F) = 10.64 states/eV/f.u.
# magnetization = 2.2 μB/cell
data_Tb4PmDy
_space_group_name_H-M_alt 'F -4 3 m'
_space_group_IT_number 216
_space_group_name_Hall 'F -4 2 3'
_cell_length_a 9.329
_cell_length_b 9.329
_cell_length_c 9.329
_cell_angle_alpha 90.00
_cell_angle_beta 90.00
_cell_angle_gamma 90.00
loop_
_atom_site_label
_atom_site_type_symbol
_atom_site_fract_x
_atom_site_fract_y
_atom_site_fract_z
_atom_site_occupancy
Tb1 Tb 0.125 0.125 0.125 1
Pm1 Pm 0.000 0.000 0.500 1
Dy1 Dy 0.250 0.250 0.750 1

***

Q: Which of them is the most stable? A: version w.

***

Version w
# PBE TbPm7Dy2, relaxed
# N(E_F) = 15.14 states/eV/f.u.
# magnetization = 0.0 μB/cell
data_TbPm7Dy2
_space_group_name_H-M_alt 'C m m m'
_space_group_IT_number 65
_space_group_name_Hall '-C 2 2'
_cell_length_a 8.799
_cell_length_b 16.606
_cell_length_c 5.600
_cell_angle_alpha 90.00
_cell_angle_beta 90.00
_cell_angle_gamma 90.00
loop_
_atom_site_label
_atom_site_type_symbol
_atom_site_fract_x
_atom_site_fract_y
_atom_site_fract_z
_atom_site_occupancy
Tb1 Tb 0.000 0.000 0.000 1
Pm1 Pm 0.000 0.215 0.000 1
Pm2 Pm 0.000 0.500 0.500 1
Pm3 Pm 0.179 0.112 0.500 1
Dy1 Dy 0.000 0.295 0.500 1

***

Version x
# PBE TbPm7Dy2, relaxed
# N(E_F) = 15.24 states/eV/f.u.
# magnetization = 0.0 μB/cell
data_TbPm7Dy2
_space_group_name_H-M_alt 'C m m m'
_space_group_IT_number 65
_space_group_name_Hall '-C 2 2'
_cell_length_a 12.046
_cell_length_b 16.827
_cell_length_c 3.512
_cell_angle_alpha 90.00
_cell_angle_beta 90.00
_cell_angle_gamma 90.00
loop_
_atom_site_label
_atom_site_type_symbol
_atom_site_fract_x
_atom_site_fract_y
_atom_site_fract_z
_atom_site_occupancy
Tb1 Tb 0.000 0.000 0.000 1
Pm1 Pm 0.000 0.323 0.000 1
Pm2 Pm 0.000 0.500 0.500 1
Pm3 Pm 0.245 0.371 0.500 1
Dy1 Dy 0.000 0.168 0.500 1

***

Q: Which of them is the most stable? A: version x.

***

Version w
# PBE Tb2Pm12Dy5, relaxed
# N(E_F) = 26.16 states/eV/f.u.
# magnetization = 0.0 μB/cell
data_Tb2Pm12Dy5
_space_group_name_H-M_alt 'C 1 2/m 1'
_space_group_IT_number 12
_space_group_name_Hall '-C 2y'
_cell_length_a 15.791
_cell_length_b 10.211
_cell_length_c 8.021
_cell_angle_alpha 90.00
_cell_angle_beta 91.65
_cell_angle_gamma 90.00
loop_
_atom_site_label
_atom_site_type_symbol
_atom_site_fract_x
_atom_site_fract_y
_atom_site_fract_z
_atom_site_occupancy
Tb1 Tb 0.000 0.243 0.000 1
Pm1 Pm 0.052 0.500 0.710 1
Pm2 Pm 0.106 0.274 0.388 1
Pm3 Pm 0.151 0.000 0.120 1
Pm4 Pm 0.190 0.230 0.794 1
Dy1 Dy 0.000 0.000 0.500 1
Dy2 Dy 0.150 0.500 0.084 1
Dy3 Dy 0.246 0.000 0.488 1

***

Version x
# PBE Tb2Pm12Dy5, relaxed
# N(E_F) = 27.17 states/eV/f.u.
# magnetization = 0.0 μB/cell
data_Tb2Pm12Dy5
_space_group_name_H-M_alt 'C 1 2/m 1'
_space_group_IT_number 12
_space_group_name_Hall '-C 2y'
_cell_length_a 17.915
_cell_length_b 11.710
_cell_length_c 6.223
_cell_angle_alpha 90.00
_cell_angle_beta 102.65
_cell_angle_gamma 90.00
loop_
_atom_site_label
_atom_site_type_symbol
_atom_site_fract_x
_atom_site_fract_y
_atom_site_fract_z
_atom_site_occupancy
Tb1 Tb 0.000 0.228 0.000 1
Pm1 Pm 0.055 0.500 0.274 1
Pm2 Pm 0.104 0.250 0.616 1
Pm3 Pm 0.121 0.000 0.999 1
Pm4 Pm 0.197 0.257 0.199 1
Dy1 Dy 0.000 0.000 0.500 1
Dy2 Dy 0.177 0.500 0.859 1
Dy3 Dy 0.215 0.000 0.551 1

***

Q: Which of them is the most stable? A: version x.

***

Version w
# PBE Tb3Pm2Dy7, relaxed
# N(E_F) = 14.63 states/eV/f.u.
# magnetization = 0.0 μB/cell
data_Tb3Pm2Dy7
_space_group_name_H-M_alt 'P 1 2/m 1'
_space_group_IT_number 10
_space_group_name_Hall '-P 2y'
_cell_length_a 5.797
_cell_length_b 3.581
_cell_length_c 18.743
_cell_angle_alpha 90.00
_cell_angle_beta 93.51
_cell_angle_gamma 90.00
loop_
_atom_site_label
_atom_site_type_symbol
_atom_site_fract_x
_atom_site_fract_y
_atom_site_fract_z
_atom_site_occupancy
Tb1 Tb 0.000 0.000 0.000 1
Tb2 Tb 0.277 0.500 0.631 1
Pm1 Pm 0.209 0.000 0.294 1
Dy1 Dy 0.184 0.500 0.142 1
Dy2 Dy 0.242 0.000 0.462 1
Dy3 Dy 0.313 0.000 0.825 1
Dy4 Dy 0.500 0.500 0.000 1

***

Version x
# PBE Tb3Pm2Dy7, relaxed
# N(E_F) = 17.50 states/eV/f.u.
# magnetization = 0.0 μB/cell
data_Tb3Pm2Dy7
_space_group_name_H-M_alt 'P 1 2/m 1'
_space_group_IT_number 10
_space_group_name_Hall '-P 2y'
_cell_length_a 6.364
_cell_length_b 3.542
_cell_length_c 17.234
_cell_angle_alpha 90.00
_cell_angle_beta 90.01
_cell_angle_gamma 90.00
loop_
_atom_site_label
_atom_site_type_symbol
_atom_site_fract_x
_atom_site_fract_y
_atom_site_fract_z
_atom_site_occupancy
Tb1 Tb 0.000 0.000 0.000 1
Tb2 Tb 0.499 0.500 0.659 1
Pm1 Pm 0.009 0.000 0.326 1
Dy1 Dy 0.176 0.500 0.164 1
Dy2 Dy 0.256 0.000 0.501 1
Dy3 Dy 0.327 0.000 0.834 1
Dy4 Dy 0.500 0.500 0.000 1

***

Q: Which of them is the most stable? A: version x.